# 1
# PBE-GGA Er7Sn2Pd2, optimized geometry
data_Er7Sn2Pd2
_chemical_formula_sum 'Er14 Sn4 Pd4'
_symmetry_space_group_name_H-M 'C m m m'
_symmetry_Int_Tables_number 65
_symmetry_space_group_name_Hall '-C 2 2'
_cell_length_a 8.1739
_cell_length_b 10.9436
_cell_length_c 7.0054
_cell_angle_alpha 90.00
_cell_angle_beta 90.00
_cell_angle_gamma 90.00
loop_
_atom_site_label
_atom_site_fract_x
_atom_site_fract_y
_atom_site_fract_z
Er1 0.0000 0.0000 0.0000
Er2 0.0000 0.5000 0.2424
Er3 0.2500 0.2500 0.2544
Sn1 0.1806 0.0000 0.5000
Pd1 0.0000 0.2862 0.0000
# Calculated volume = 28.48 Å³ per atom
# Electronic total energy = -110.30 eV for the cell shown
# Formation energy from the elements = -0.44 eV/atom

***

# 2
# PBE-GGA Li4HgSb3Pb2, optimized geometry
data_Li4HgSb3Pb2
_chemical_formula_sum 'Li4 Hg1 Sb3 Pb2'
_symmetry_space_group_name_H-M 'P -4 m 2'
_symmetry_Int_Tables_number 115
_symmetry_space_group_name_Hall 'P -4 -2'
_cell_length_a 4.3964
_cell_length_b 4.3964
_cell_length_c 12.6512
_cell_angle_alpha 90.00
_cell_angle_beta 90.00
_cell_angle_gamma 90.00
loop_
_atom_site_label
_atom_site_fract_x
_atom_site_fract_y
_atom_site_fract_z
Li1 0.0000 0.0000 0.0000
Li2 0.0000 0.5000 0.3572
Li3 0.5000 0.5000 0.0000
Hg1 0.5000 0.5000 0.5000
Sb1 0.0000 0.0000 0.5000
Sb2 0.0000 0.5000 0.1443
Pb1 0.0000 0.5000 0.7676
# Raw formation energy = -0.285 eV per atom
# Calculated volume = 24.45 Å³ per atom
# Electronic total energy = -30.59 eV for the cell shown

***

# 3
# PBE-GGA PaTlNiS4, optimized geometry
data_PaTlNiS4
_chemical_formula_sum 'Pa2 Tl2 Ni2 S8'
_symmetry_space_group_name_H-M 'P 1 21/m 1'
_symmetry_Int_Tables_number 11
_symmetry_space_group_name_Hall '-P 2yb'
_cell_length_a 6.6343
_cell_length_b 5.5592
_cell_length_c 9.0192
_cell_angle_alpha 90.00
_cell_angle_beta 106.21
_cell_angle_gamma 90.00
loop_
_atom_site_label
_atom_site_fract_x
_atom_site_fract_y
_atom_site_fract_z
Pa1 0.2354 0.2500 0.4455
Tl1 0.2327 0.2500 0.9517
Ni1 0.2603 0.7500 0.6630
S1 0.0504 0.7500 0.8199
S2 0.0778 0.7500 0.4171
S3 0.4856 0.5118 0.3001
# Raw formation energy = -0.937 eV per atom
# Calculated volume = 22.82 Å³ per atom
# Electronic total energy = -81.42 eV for the cell shown